Below is crystalline BaSrC2O6 at its relaxed geometry, with properties calculated at the PBE-GGA level.

Properties
Uncorrected energy, hartree per atom: -0.274
Size of the total moment, μB/cell: 0.00
SG: C2/c

Cell lengths 6.801, 6.801, 7.112 Å; angles 103.52, 103.52, 99.50 degrees
Positions (direct):
O: 0.274 0.512 0.371
O: 0.945 0.399 0.168
O: 0.488 0.726 0.129
O: 0.601 0.055 0.332
O: 0.816 0.788 0.877
O: 0.788 0.816 0.377
O: 0.399 0.945 0.668
O: 0.726 0.488 0.629
O: 0.055 0.601 0.832
O: 0.184 0.212 0.123
O: 0.512 0.274 0.871
O: 0.212 0.184 0.623
C: 0.868 0.628 0.777
C: 0.628 0.868 0.277
C: 0.372 0.132 0.723
C: 0.132 0.372 0.223
Sr: 0.599 0.401 0.250
Sr: 0.401 0.599 0.750
Ba: 0.145 0.855 0.250
Ba: 0.855 0.145 0.750